Density functional theory data (PBE-GGA) for an optimized crystal structure of VSb2Cl.

Lattice parameters (Å, degrees): 7.0899 7.0899 7.0899 90.00 90.00 90.00
Atoms (fractional coordinates):
V  0.0000  0.0000  0.0000
V  0.0000  0.5000  0.5000
V  0.5000  0.0000  0.5000
V  0.5000  0.5000  0.0000
Sb  0.2500  0.2500  0.2500
Sb  0.2500  0.2500  0.7500
Sb  0.2500  0.7500  0.2500
Sb  0.2500  0.7500  0.7500
Sb  0.7500  0.2500  0.2500
Sb  0.7500  0.2500  0.7500
Sb  0.7500  0.7500  0.2500
Sb  0.7500  0.7500  0.7500
Cl  0.0000  0.0000  0.5000
Cl  0.0000  0.5000  0.0000
Cl  0.5000  0.0000  0.0000
Cl  0.5000  0.5000  0.5000

Summary:
The raw formation energy is 0.36 eV per atom. The calculation puts the magnetic moment at 13.9 Bohr magnetons per cell. The excess energy over the best structure of this formula in the dataset comes out at 0.000 eV/atom.